The following is a DFT calculation (GGA-PBE) of a relaxed Pr3TmZn2 crystal.

Output
energy relative to the elements: -0.77 eV/f.u.
excess energy over the best structure of this formula in the dataset: 57 meV per atom
DFT total energy: -3.69 eV/atom

CIF file:
```
data_Pr3TmZn2
_chemical_formula_sum 'Pr6 Tm2 Zn4'
_cell_length_a 5.4260
_cell_length_b 16.5315
_cell_length_c 3.7332
_cell_angle_alpha 90.00
_cell_angle_beta 90.00
_cell_angle_gamma 90.00
_space_group_name_H-M_alt 'C m m m'
_space_group_IT_number 65
_space_group_name_Hall '-C 2 2'
loop_
_atom_site_label
_atom_site_type_symbol
_atom_site_fract_x
_atom_site_fract_y
_atom_site_fract_z
Pr1 Pr 0.0000 0.0000 0.0000
Pr2 Pr 0.0000 0.3213 0.0000
Tm1 Tm 0.0000 0.5000 0.5000
Zn1 Zn 0.0000 0.1563 0.5000
```